The following is a PBE-GGA calculation of a relaxed Cd3Cl crystal, from Alexandria via LeMat-Bulk.

Geometry as POSCAR:
```
Cd3Cl
1.0
6.301 0.000 0.000
0.000 7.339 0.000
0.000 0.000 8.709
Cl Cd
4 12
direct
0.357 0.004 0.250
0.857 0.496 0.750
0.143 0.504 0.250
0.643 0.996 0.750
0.294 0.395 0.750
0.866 0.827 0.996
0.206 0.895 0.750
0.794 0.105 0.250
0.366 0.673 0.004
0.706 0.605 0.250
0.634 0.327 0.996
0.366 0.673 0.496
0.634 0.327 0.504
0.866 0.827 0.504
0.134 0.173 0.496
0.134 0.173 0.004
```

**Raw formation energy**: -24.93 kJ/mol of atoms
**SG**: Pnma
**E**: -1.406 eV per atom
**Spin magnetization**: 0.000 μB/cell


The following is a PBE-GGA calculation of a relaxed CdCl3 crystal, from Alexandria via LeMat-Bulk.

Geometry as POSCAR:
```
CdCl3
1.0
4.759 0.000 0.000
0.000 4.759 0.000
0.000 0.000 3.874
Cd Cl
1 3
direct
0.000 0.000 0.000
0.000 0.500 0.500
0.500 0.500 0.000
0.500 0.000 0.500
```

**Raw formation energy**: -5.35 kJ/mol of atoms
**SG**: P4/mmm
**E**: -1.669 eV per atom
**Spin magnetization**: 1.087 μB/cell


The following is a PBE-GGA calculation of a relaxed Cd2Cl13 crystal, from Alexandria via LeMat-Bulk.

Geometry as POSCAR:
```
Cd2Cl13
1.0
9.413 0.000 4.727
3.520 8.731 4.727
2.379 1.606 6.998
Cl Cd
13 2
direct
0.139 0.816 0.230
0.500 0.500 0.500
0.380 0.981 0.259
0.816 0.816 0.230
0.380 0.380 0.259
0.861 0.184 0.770
0.184 0.184 0.770
0.620 0.620 0.741
0.184 0.861 0.770
0.620 0.019 0.741
0.019 0.620 0.741
0.816 0.139 0.230
0.981 0.380 0.259
0.311 0.311 0.066
0.689 0.689 0.934
```

**Raw formation energy**: -13.42 kJ/mol of atoms
**SG**: R-3m
**E**: -1.862 eV per atom
**Spin magnetization**: 0.000 μB/cell


The following is a PBE-GGA calculation of a relaxed CdCl3 crystal, from Alexandria via LeMat-Bulk.

Geometry as POSCAR:
```
CdCl3
1.0
-2.838 -0.376 5.174
1.394 -4.919 -2.972
10.855 -0.501 5.917
Cl Cd
12 4
direct
0.835 0.165 0.250
0.500 0.000 0.500
0.000 0.500 0.500
0.500 0.000 0.000
0.500 0.500 0.500
0.671 0.835 0.750
0.329 0.165 0.250
0.165 0.329 0.750
0.000 0.500 0.000
0.835 0.671 0.250
0.500 0.500 0.000
0.165 0.835 0.750
0.333 0.667 0.250
0.000 0.000 0.500
0.667 0.333 0.750
0.000 0.000 0.000
```

**Raw formation energy**: -8.76 kJ/mol of atoms
**SG**: P6_3/mmc
**E**: -1.705 eV per atom
**Spin magnetization**: 3.837 μB/cell


The following is a PBE-GGA calculation of a relaxed CdCl crystal, from Alexandria via LeMat-Bulk.

Geometry as POSCAR:
```
CdCl
1.0
-1.231 -3.534 0.116
3.617 0.743 0.618
-1.657 0.861 8.661
Cd Cl
2 2
direct
0.000 0.000 0.997
0.667 0.333 0.253
0.667 0.333 0.817
0.000 0.000 0.433
```

**Raw formation energy**: -62.79 kJ/mol of atoms
**SG**: P-3m1
**E**: -2.032 eV per atom
**Spin magnetization**: 0.000 μB/cell


The following is a PBE-GGA calculation of a relaxed CdCl3 crystal, from Alexandria via LeMat-Bulk.

Geometry as POSCAR:
```
CdCl3
1.0
4.048 0.000 0.000
0.000 5.324 0.020
0.000 2.821 4.509
Cl Cd
3 1
direct
0.500 0.790 0.790
0.000 0.500 0.500
0.500 0.210 0.210
0.000 0.000 0.000
```

**Raw formation energy**: -51.32 kJ/mol of atoms
**SG**: Cmmm
**E**: -2.146 eV per atom
**Spin magnetization**: 0.000 μB/cell


The following is a PBE-GGA calculation of a relaxed CdCl crystal, from Alexandria via LeMat-Bulk.

Geometry as POSCAR:
```
CdCl
1.0
8.665 0.000 0.000
0.000 8.665 0.000
0.000 0.000 8.665
Cl Cd
8 8
direct
0.709 0.709 0.709
0.209 0.791 0.791
0.791 0.791 0.209
0.209 0.209 0.209
0.709 0.291 0.291
0.791 0.209 0.791
0.291 0.291 0.709
0.291 0.709 0.291
0.876 0.124 0.124
0.124 0.124 0.876
0.376 0.624 0.624
0.376 0.376 0.376
0.624 0.624 0.376
0.876 0.876 0.876
0.124 0.876 0.124
0.624 0.376 0.624
```

**Raw formation energy**: -48.74 kJ/mol of atoms
**SG**: I-43m
**E**: -1.886 eV per atom
**Spin magnetization**: 0.000 μB/cell


The following is a PBE-GGA calculation of a relaxed CdCl crystal, from Alexandria via LeMat-Bulk.

Geometry as POSCAR:
```
CdCl
1.0
-2.994 1.583 -0.359
-0.468 -0.121 3.371
3.896 7.551 0.812
Cd Cl
2 2
direct
0.750 0.750 0.866
0.250 0.250 0.134
0.250 0.250 0.691
0.750 0.750 0.309
```

**Raw formation energy**: -49.48 kJ/mol of atoms
**SG**: P4/nmm
**E**: -1.894 eV per atom
**Spin magnetization**: 0.000 μB/cell


> The highest spin magnetization belongs to which entry?

number 4


Please write out number 8 again, unchanged.
The following is a PBE-GGA calculation of a relaxed CdCl crystal, from Alexandria via LeMat-Bulk.

Geometry as POSCAR:
```
CdCl
1.0
-2.994 1.583 -0.359
-0.468 -0.121 3.371
3.896 7.551 0.812
Cd Cl
2 2
direct
0.750 0.750 0.866
0.250 0.250 0.134
0.250 0.250 0.691
0.750 0.750 0.309
```

**Raw formation energy**: -49.48 kJ/mol of atoms
**SG**: P4/nmm
**E**: -1.894 eV per atom
**Spin magnetization**: 0.000 μB/cell


> What is the E in the third record?

-1.862 eV per atom